[1]
Below is an optimized crystal structure of NaBiBr3, with properties calculated at the PBE level.

Structure (POSCAR):
```
NaBiBr3
1.0
7.4566 -6.1699 0.0000
7.4566 6.1699 0.0000
-0.0129 0.0000 3.8657
Na Bi Br
2 2 6
Direct
0.2020 0.2020 0.0043
0.7980 0.7980 0.9957
0.3135 0.6865 0.5000
0.6865 0.3135 0.5000
0.0260 0.6963 0.4968
0.3037 0.9740 0.5032
0.3662 0.3662 0.5040
0.6338 0.6338 0.4960
0.6963 0.0260 0.4968
0.9740 0.3037 0.5032
```

Computed properties:
Calculated total energy ... -2.96 eV/atom
E above lowest polymorph ... 0 meV/atom
M_tot ... 0.00 μB/f.u.
V ... 35.57 Å³/atom
Formation energy without anion corrections ... -917 meV/atom
SG ... C2/m, No. 12

[2]
Below is an optimized crystal structure of MgMnBe2S, with properties calculated at the PBE level.

Structure (POSCAR):
```
MgMnBe2S
1.0
4.2344 0.0000 0.0000
0.0000 4.2344 0.0000
0.0000 0.0000 4.0941
Mg Mn Be S
1 1 2 1
Direct
0.0000 0.0000 0.0000
0.5000 0.5000 0.5000
0.0000 0.5000 0.5000
0.5000 0.0000 0.5000
0.5000 0.5000 0.0000
```

Computed properties:
Calculated total energy ... -4.10 eV/atom
M_tot ... 0.00 μB/f.u.
V ... 14.68 Å³/atom
Formation energy without anion corrections ... 364 meV/atom
SG ... P4/mmm, No. 123

[3]
Below is an optimized crystal structure of RbSrFeMo2, with properties calculated at the PBE level.

Structure (POSCAR):
```
RbSrFeMo2
1.0
4.6001 0.0000 0.0000
0.0000 4.6001 0.0000
0.0000 0.0000 5.9566
Rb Sr Fe Mo
1 1 1 2
Direct
0.0000 0.0000 0.0000
0.5000 0.5000 0.0000
0.0000 0.0000 0.5000
0.0000 0.5000 0.5000
0.5000 0.0000 0.5000
```

Computed properties:
Calculated total energy ... -5.18 eV/atom
Calculated formation energy ... 1.38 eV/atom
M_tot ... 1.35 μB/f.u.
V ... 25.21 Å³/atom
SG ... P4/mmm, No. 123

[4]
Below is an optimized crystal structure of LiSb2P2, with properties calculated at the PBE level.

Structure (POSCAR):
```
LiSb2P2
1.0
7.6161 0.0000 0.0000
0.0000 7.6161 0.0000
0.0000 0.0000 3.7903
Li Sb P
2 4 4
Direct
0.0000 0.0000 0.0000
0.5000 0.5000 0.0000
0.1582 0.3418 0.5000
0.3418 0.8418 0.5000
0.6582 0.1582 0.5000
0.8418 0.6582 0.5000
0.1763 0.6763 0.0000
0.3237 0.1763 0.0000
0.6763 0.8237 0.0000
0.8237 0.3237 0.0000
```

Computed properties:
Calculated total energy ... -4.12 eV/atom
E above lowest polymorph ... 0 meV/atom
M_tot ... 0.00 μB/f.u.
V ... 21.99 Å³/atom
Formation energy without anion corrections ... 75 meV/atom
SG ... P4/mbm, No. 127

[5]
Below is an optimized crystal structure of YScSi, with properties calculated at the PBE level.

Structure (POSCAR):
```
YScSi
1.0
6.8047 0.0000 0.0000
0.0000 6.8047 0.0000
0.0000 0.0000 6.8047
Y Sc Si
4 4 4
Direct
0.0000 0.0000 0.0000
0.0000 0.5000 0.5000
0.5000 0.0000 0.5000
0.5000 0.5000 0.0000
0.2500 0.2500 0.2500
0.2500 0.7500 0.7500
0.7500 0.2500 0.7500
0.7500 0.7500 0.2500
0.2500 0.2500 0.7500
0.2500 0.7500 0.2500
0.7500 0.2500 0.2500
0.7500 0.7500 0.7500
```

Computed properties:
Calculated total energy ... -5.62 eV/atom
E above lowest polymorph ... 1101 meV/atom
M_tot ... 0.94 μB/f.u.
V ... 26.26 Å³/atom
Formation energy without anion corrections ... 450 meV/atom
SG ... F-43m, No. 216

[6]
Below is an optimized crystal structure of Cs2RbNa6, with properties calculated at the PBE level.

Structure (POSCAR):
```
Cs2RbNa6
1.0
0.0000 6.5619 6.5619
6.5619 0.0000 6.5619
6.5619 6.5619 0.0000
Cs Rb Na
2 1 6
Direct
0.2500 0.2500 0.2500
0.7500 0.7500 0.7500
0.0000 0.0000 0.0000
0.3071 0.3071 0.6929
0.3071 0.6929 0.3071
0.3071 0.6929 0.6929
0.6929 0.3071 0.3071
0.6929 0.3071 0.6929
0.6929 0.6929 0.3071
```

Computed properties:
Calculated total energy ... -1.10 eV/atom
Calculated formation energy ... 0.07 eV/atom
M_tot ... 0.00 μB/f.u.
V ... 62.79 Å³/atom
SG ... Fm-3m, No. 225

[7]
Below is an optimized crystal structure of Pm2ZnAu2, with properties calculated at the PBE level.

Structure (POSCAR):
```
Pm2ZnAu2
1.0
-3.4641 6.1892 2.9907
3.4641 -6.1892 2.9907
3.4641 6.1892 -2.9907
Pm Zn Au
4 2 4
Direct
0.1488 0.1888 0.3377
0.3512 0.6888 0.0400
0.6488 0.3112 0.9600
0.8512 0.8112 0.6623
0.2500 0.7500 0.5000
0.7500 0.2500 0.5000
0.1117 0.7557 0.8674
0.3883 0.2557 0.6440
0.6117 0.7443 0.3560
0.8883 0.2443 0.1326
```

Computed properties:
Calculated total energy ... -4.06 eV/atom
E above lowest polymorph ... 83 meV/atom
Calculated formation energy ... -0.59 eV/atom
M_tot ... 0.00 μB/f.u.
V ... 25.65 Å³/atom
SG ... Ibam, No. 72

[8]
Below is an optimized crystal structure of RbBa3Li, with properties calculated at the PBE level.

Structure (POSCAR):
```
RbBa3Li
1.0
6.9304 0.0000 0.0000
0.0000 6.9304 0.0000
0.0000 0.0000 6.9304
Rb Ba Li
1 3 1
Direct
0.0000 0.0000 0.0000
0.0000 0.5000 0.5000
0.5000 0.0000 0.5000
0.5000 0.5000 0.0000
0.5000 0.5000 0.5000
```

Computed properties:
Calculated total energy ... -1.56 eV/atom
E above lowest polymorph ... 0 meV/atom
Calculated formation energy ... 0.17 eV/atom
M_tot ... 0.00 μB/f.u.
V ... 66.57 Å³/atom
SG ... Pm-3m, No. 221

[9]
Below is an optimized crystal structure of GaCuPt2, with properties calculated at the PBE level.

Structure (POSCAR):
```
GaCuPt2
1.0
4.0074 0.0000 0.0000
0.0000 4.0074 0.0000
0.0000 0.0000 3.5911
Ga Cu Pt
1 1 2
Direct
0.0000 0.0000 0.0000
0.5000 0.5000 0.0000
0.0000 0.5000 0.5000
0.5000 0.0000 0.5000
```

Computed properties:
Calculated total energy ... -5.30 eV/atom
Calculated formation energy ... -0.49 eV/atom
M_tot ... 0.00 μB/f.u.
V ... 14.42 Å³/atom
SG ... P4/mmm, No. 123

[10]
Below is an optimized crystal structure of Pr2RhI, with properties calculated at the PBE level.

Structure (POSCAR):
```
Pr2RhI
1.0
4.1986 0.0000 0.0000
-2.0993 3.6361 0.0000
0.0000 0.0000 24.7821
Pr Rh I
6 3 3
Direct
0.0000 0.0000 0.0000
0.0000 0.0000 0.2096
0.3333 0.6667 0.6667
0.3333 0.6667 0.8763
0.6667 0.3333 0.3333
0.6667 0.3333 0.5430
0.0000 0.0000 0.6050
0.3333 0.6667 0.2717
0.6667 0.3333 0.9384
0.0000 0.0000 0.4370
0.3333 0.6667 0.1037
0.6667 0.3333 0.7703
```

Computed properties:
Calculated total energy ... -5.54 eV/atom
E above lowest polymorph ... 10 meV/atom
M_tot ... 0.00 μB/f.u.
V ... 31.53 Å³/atom
Formation energy without anion corrections ... -926 meV/atom
SG ... R3m, No. 160

[11]
Below is an optimized crystal structure of PmY2TeO8, with properties calculated at the PBE level.

Structure (POSCAR):
```
PmY2TeO8
1.0
5.0389 0.0000 0.0000
0.0000 7.0140 0.0000
-0.0595 0.0000 5.0425
Pm Y Te O
1 2 1 8
Direct
0.0000 0.0000 0.0000
0.5000 0.2581 0.5000
0.5000 0.7419 0.5000
0.0000 0.5000 0.0000
0.1824 0.2931 0.8163
0.1824 0.7069 0.8163
0.2768 0.5000 0.2751
0.3182 0.0000 0.3161
0.6818 0.0000 0.6839
0.7232 0.5000 0.7249
0.8176 0.2931 0.1837
0.8176 0.7069 0.1837
```

Computed properties:
Calculated total energy ... -7.51 eV/atom
M_tot ... 0.88 μB/f.u.
V ... 14.85 Å³/atom
Formation energy without anion corrections ... -2474 meV/atom
SG ... P2/m, No. 10

[12]
Below is an optimized crystal structure of Tb14DySc, with properties calculated at the PBE level.

Structure (POSCAR):
```
Tb14DySc
1.0
7.0898 0.0000 0.0000
0.0000 7.0898 0.0000
0.0000 0.0000 10.0013
Tb Dy Sc
14 1 1
Direct
0.0000 0.0000 0.0000
0.0000 0.5000 0.0000
0.0000 0.5000 0.5000
0.2484 0.2484 0.2526
0.2484 0.2484 0.7474
0.2484 0.7516 0.2526
0.2484 0.7516 0.7474
0.5000 0.0000 0.0000
0.5000 0.0000 0.5000
0.5000 0.5000 0.0000
0.7516 0.2484 0.2526
0.7516 0.2484 0.7474
0.7516 0.7516 0.2526
0.7516 0.7516 0.7474
0.5000 0.5000 0.5000
0.0000 0.0000 0.5000
```

Computed properties:
Calculated total energy ... -4.71 eV/atom
Calculated formation energy ... 0.02 eV/atom
M_tot ... 0.00 μB/f.u.
V ... 31.42 Å³/atom
SG ... P4/mmm, No. 123

[13]
Below is an optimized crystal structure of TmHfH, with properties calculated at the PBE level.

Structure (POSCAR):
```
TmHfH
1.0
3.3621 0.0000 0.0000
-1.6811 2.9117 0.0000
0.0000 0.0000 5.2883
Tm Hf H
1 1 1
Direct
0.0000 0.0000 0.0000
0.3333 0.6667 0.4960
0.6667 0.3333 0.7066
```

Computed properties:
Calculated total energy ... -6.07 eV/atom
E above lowest polymorph ... 3 meV/atom
M_tot ... 0.00 μB/f.u.
V ... 17.26 Å³/atom
SG ... P3m1, No. 156

[14]
Below is an optimized crystal structure of Ca3TiSi, with properties calculated at the PBE level.

Structure (POSCAR):
```
Ca3TiSi
1.0
5.6311 0.0000 0.0000
0.0000 5.6311 0.0000
0.0000 0.0000 5.6311
Ca Ti Si
3 1 1
Direct
0.0000 0.0000 0.5000
0.0000 0.5000 0.0000
0.5000 0.0000 0.0000
0.5000 0.5000 0.5000
0.0000 0.0000 0.0000
```

Computed properties:
Calculated total energy ... -3.35 eV/atom
E above lowest polymorph ... 0 meV/atom
M_tot ... 0.30 μB/f.u.
V ... 35.71 Å³/atom
Formation energy without anion corrections ... 517 meV/atom
SG ... Pm-3m, No. 221

[15]
Below is an optimized crystal structure of Sn2PdPt2, with properties calculated at the PBE level.

Structure (POSCAR):
```
Sn2PdPt2
1.0
7.4731 0.0000 0.0000
0.0000 7.4731 0.0000
0.0000 0.0000 3.3683
Sn Pd Pt
4 2 4
Direct
0.1613 0.3387 0.0000
0.3387 0.8387 0.0000
0.6613 0.1613 0.0000
0.8387 0.6613 0.0000
0.0000 0.0000 0.0000
0.5000 0.5000 0.0000
0.1362 0.6362 0.5000
0.3638 0.1362 0.5000
0.6362 0.8638 0.5000
0.8638 0.3638 0.5000
```

Computed properties:
Calculated total energy ... -5.38 eV/atom
E above lowest polymorph ... 79 meV/atom
Calculated formation energy ... -0.32 eV/atom
M_tot ... 0.00 μB/f.u.
V ... 18.81 Å³/atom
SG ... P4/mbm, No. 127

[16]
Below is an optimized crystal structure of RbLaMg2Ni, with properties calculated at the PBE level.

Structure (POSCAR):
```
RbLaMg2Ni
1.0
6.1549 0.0000 0.0000
0.0000 6.1549 0.0000
0.0000 0.0000 6.9277
Rb La Mg Ni
1 1 2 1
Direct
0.0000 0.0000 0.0000
0.0000 0.0000 0.5000
0.0000 0.5000 0.5000
0.5000 0.0000 0.5000
0.5000 0.5000 0.0000
```

Computed properties:
Calculated total energy ... -1.39 eV/atom
Calculated formation energy ... 1.58 eV/atom
M_tot ... 1.88 μB/f.u.
V ... 52.49 Å³/atom
SG ... P4/mmm, No. 123

[17]
Below is an optimized crystal structure of MgZrRe3, with properties calculated at the PBE level.

Structure (POSCAR):
```
MgZrRe3
1.0
4.5220 0.0000 0.0000
0.0000 4.5220 0.0000
0.0000 0.0000 4.5220
Mg Zr Re
1 1 3
Direct
0.0000 0.0000 0.0000
0.5000 0.5000 0.5000
0.0000 0.0000 0.5000
0.0000 0.5000 0.0000
0.5000 0.0000 0.0000
```

Computed properties:
Calculated total energy ... -7.62 eV/atom
E above lowest polymorph ... 0 meV/atom
Calculated formation energy ... 1.87 eV/atom
M_tot ... 0.00 μB/f.u.
V ... 18.49 Å³/atom
SG ... Pm-3m, No. 221